Entry 1:
## Ca2LaMgRh (PBE)

Data for a geometry-optimized Ca2LaMgRh structure.

Calculated values
**Symmetry**: P4/mmm (123)
**Calculated total energy**: -3.827 eV/atom
**Crystal system**: tetragonal
**Distance to the lowest polymorph of the same formula**: 0 meV/atom

Cell lengths 5.6038, 5.6038, 5.4349 Å; angles 90.00, 90.00, 90.00 degrees
Fractional positions:
Ca  0.0000  0.5000  0.0000
Ca  0.5000  0.0000  0.0000
La  0.0000  0.0000  0.5000
Rh  0.0000  0.0000  0.0000
Mg  0.5000  0.5000  0.5000

Entry 2:
## CaLaMg2Ru (PBE)

Data for a geometry-optimized CaLaMg2Ru structure.

Calculated values
**Symmetry**: P4/mmm (123)
**Calculated total energy**: -1.923 eV/atom
**Crystal system**: tetragonal
**Distance to the lowest polymorph of the same formula**: 2027 meV/atom

Cell lengths 5.5407, 5.7545, 5.5407 Å; angles 90.00, 90.00, 90.00 degrees
Fractional positions:
La  0.0000  0.0000  0.0000
Ca  0.0000  0.5000  0.0000
Mg  0.5000  0.0000  0.0000
Ru  0.5000  0.5000  0.5000
Mg  0.0000  0.0000  0.5000

Entry 3:
## CaLaMg2Ru (PBE)

Data for a geometry-optimized CaLaMg2Ru structure.

Calculated values
**Symmetry**: P4/mmm (123)
**Calculated total energy**: -3.950 eV/atom
**Crystal system**: tetragonal
**Distance to the lowest polymorph of the same formula**: 0 meV/atom

Cell lengths 5.3176, 5.3176, 5.1253 Å; angles 90.00, 90.00, 90.00 degrees
Fractional positions:
Mg  0.5000  0.0000  0.0000
Ca  0.5000  0.5000  0.5000
Mg  0.0000  0.5000  0.0000
La  0.0000  0.0000  0.5000
Ru  0.0000  0.0000  0.0000

Entry 4:
## CaLaMgRu (PBE)

Data for a geometry-optimized CaLaMgRu structure.

Calculated values
**Symmetry**: F-43m (216)
**Calculated total energy**: -4.403 eV/atom
**Crystal system**: cubic

Cell lengths 5.1765, 5.1765, 5.1765 Å; angles 60.00, 60.00, 60.00 degrees
Fractional positions:
La  0.5000  0.5000  0.5000
Ca  0.0000  0.0000  0.0000
Ru  0.7500  0.7500  0.7500
Mg  0.2500  0.2500  0.2500

Entry 5:
## Ca2LaMgS (PBE)

Data for a geometry-optimized Ca2LaMgS structure.

Calculated values
**Symmetry**: P4/mmm (123)
**Calculated total energy**: -3.650 eV/atom
**Crystal system**: tetragonal

Cell lengths 5.3917, 5.3917, 5.6966 Å; angles 90.00, 90.00, 90.00 degrees
Fractional positions:
Mg  0.5000  0.5000  0.5000
Ca  0.0000  0.5000  0.0000
La  0.0000  0.0000  0.5000
Ca  0.5000  0.0000  0.0000
S  0.0000  0.0000  0.0000

Entry 6:
## CaLa2Sm2Mg5 (PBE)

Data for a geometry-optimized CaLa2Sm2Mg5 structure.

Calculated values
**Symmetry**: P4/mbm (127)
**Calculated total energy**: -2.930 eV/atom
**Crystal system**: tetragonal

Cell lengths 5.1344, 10.8438, 10.8438 Å; angles 90.00, 90.00, 90.00 degrees
Fractional positions:
Ca  0.0000  0.5000  0.5000
La  0.0000  0.6735  0.1735
Mg  0.5000  0.4290  0.3009
Mg  0.5000  0.0000  0.5000
Mg  0.5000  0.8009  0.9290
La  0.0000  0.1735  0.3265
Mg  0.5000  0.5710  0.6991
Mg  0.5000  0.3009  0.5710
Sm  0.0000  0.6219  0.8781
Sm  0.0000  0.3781  0.1219
La  0.0000  0.3265  0.8265
Mg  0.5000  0.6991  0.4290
Sm  0.0000  0.8781  0.3781
Mg  0.5000  0.0710  0.8009
Ca  0.0000  0.0000  0.0000
La  0.0000  0.8265  0.6735
Mg  0.5000  0.9290  0.1991
Mg  0.5000  0.1991  0.0710
Mg  0.5000  0.5000  0.0000
Sm  0.0000  0.1219  0.6219

Entry 7:
## CaLa2MgSn (PBE)

Data for a geometry-optimized CaLa2MgSn structure.

Calculated values
**Symmetry**: P4/mmm (123)
**Calculated total energy**: -3.395 eV/atom
**Crystal system**: tetragonal

Cell lengths 6.2125, 6.0585, 6.2125 Å; angles 90.00, 90.00, 90.00 degrees
Fractional positions:
Sn  0.0000  0.0000  0.0000
La  0.0000  0.0000  0.5000
Mg  0.5000  0.5000  0.5000
Ca  0.0000  0.5000  0.0000
La  0.5000  0.0000  0.0000

Entry 8:
## CaLa2Tb2Mg5 (PBE)

Data for a geometry-optimized CaLa2Tb2Mg5 structure.

Calculated values
**Symmetry**: P4/mbm (127)
**Calculated total energy**: -2.909 eV/atom
**Crystal system**: tetragonal

Cell lengths 5.1092, 10.8053, 10.8053 Å; angles 90.00, 90.00, 90.00 degrees
Fractional positions:
La  0.0000  0.1742  0.3258
Tb  0.0000  0.3796  0.1204
Mg  0.5000  0.5706  0.7010
La  0.0000  0.3258  0.8258
Ca  0.0000  0.0000  0.0000
Ca  0.0000  0.5000  0.5000
Tb  0.0000  0.8796  0.3796
Mg  0.5000  0.7990  0.9294
Mg  0.5000  0.0706  0.7990
Mg  0.5000  0.4294  0.2990
La  0.0000  0.6742  0.1742
La  0.0000  0.8258  0.6742
Mg  0.5000  0.2010  0.0706
Mg  0.5000  0.7010  0.4294
Mg  0.5000  0.2990  0.5706
Mg  0.5000  0.5000  0.0000
Mg  0.5000  0.9294  0.2010
Tb  0.0000  0.1204  0.6204
Mg  0.5000  0.0000  0.5000
Tb  0.0000  0.6204  0.8796

Entry 9:
## CaLaTbMg (PBE)

Data for a geometry-optimized CaLaTbMg structure.

Calculated values
**Symmetry**: P4mm (99)
**Calculated total energy**: -3.303 eV/atom
**Crystal system**: tetragonal
**Distance to the lowest polymorph of the same formula**: 0 meV/atom

Cell lengths 3.6814, 3.6814, 9.8297 Å; angles 90.00, 90.00, 90.00 degrees
Fractional positions:
Ca  0.0000  0.0000  0.1027
La  0.5000  0.5000  0.8001
Tb  0.0000  0.0000  0.5475
Mg  0.5000  0.5000  0.3344

Entry 10:
## CaLaTbMg (PBE)

Data for a geometry-optimized CaLaTbMg structure.

Calculated values
**Symmetry**: F-43m (216)
**Calculated total energy**: -3.240 eV/atom
**Crystal system**: cubic
**Distance to the lowest polymorph of the same formula**: 62 meV/atom

Cell lengths 5.7012, 5.7012, 5.7012 Å; angles 60.00, 60.00, 60.00 degrees
Fractional positions:
Mg  0.0000  0.0000  0.0000
Tb  0.2500  0.2500  0.2500
La  0.7500  0.7500  0.7500
Ca  0.5000  0.5000  0.5000

Entry 11:
## CaLa2MgTc (PBE)

Data for a geometry-optimized CaLa2MgTc structure.

Calculated values
**Symmetry**: P4/mmm (123)
**Calculated total energy**: -4.689 eV/atom
**Crystal system**: tetragonal
**Distance to the lowest polymorph of the same formula**: 31 meV/atom

Cell lengths 5.3692, 5.3692, 5.8510 Å; angles 90.00, 90.00, 90.00 degrees
Fractional positions:
La  0.5000  0.0000  0.0000
Mg  0.5000  0.5000  0.5000
Ca  0.0000  0.0000  0.5000
Tc  0.0000  0.0000  0.0000
La  0.0000  0.5000  0.0000

Entry 12:
## CaLa2MgTc (PBE)

Data for a geometry-optimized CaLa2MgTc structure.

Calculated values
**Symmetry**: P4/mmm (123)
**Calculated total energy**: -4.720 eV/atom
**Crystal system**: tetragonal
**Distance to the lowest polymorph of the same formula**: 0 meV/atom

Cell lengths 5.3993, 5.3993, 5.5799 Å; angles 90.00, 90.00, 90.00 degrees
Fractional positions:
Ca  0.5000  0.5000  0.5000
La  0.5000  0.0000  0.0000
Tc  0.0000  0.0000  0.0000
Mg  0.0000  0.0000  0.5000
La  0.0000  0.5000  0.0000

Entry 13:
## CaLaMgTe2 (PBE)

Data for a geometry-optimized CaLaMgTe2 structure.

Calculated values
**Symmetry**: P4/mmm (123)
**Calculated total energy**: -2.884 eV/atom
**Crystal system**: tetragonal

Cell lengths 5.7571, 5.9971, 5.7571 Å; angles 90.00, 90.00, 90.00 degrees
Fractional positions:
La  0.0000  0.5000  0.0000
Mg  0.5000  0.5000  0.5000
Ca  0.0000  0.0000  0.0000
Te  0.0000  0.0000  0.5000
Te  0.5000  0.0000  0.0000

Entry 14:
## CaLaMgTl2 (PBE)

Data for a geometry-optimized CaLaMgTl2 structure.

Calculated values
**Symmetry**: P4/mmm (123)
**Calculated total energy**: -1.953 eV/atom
**Crystal system**: tetragonal

Cell lengths 6.0304, 6.3933, 6.0304 Å; angles 90.00, 90.00, 90.00 degrees
Fractional positions:
Tl  0.5000  0.0000  0.0000
La  0.0000  0.0000  0.0000
Ca  0.0000  0.5000  0.0000
Mg  0.5000  0.5000  0.5000
Tl  0.0000  0.0000  0.5000

Entry 15:
## CaLa2MgTl4 (PBE)

Data for a geometry-optimized CaLa2MgTl4 structure.

Calculated values
**Symmetry**: R-3m (166)
**Calculated total energy**: -3.233 eV/atom
**Crystal system**: trigonal

Cell lengths 5.4514, 5.4514, 9.6486 Å; angles 73.59, 73.59, 60.00 degrees
Fractional positions:
Tl  0.6261  0.6261  0.1218
Tl  0.3739  0.3739  0.8782
La  0.2441  0.2441  0.2676
Tl  0.8753  0.8753  0.3742
Tl  0.1247  0.1247  0.6258
La  0.7559  0.7559  0.7324
Mg  0.5000  0.5000  0.5000
Ca  0.0000  0.0000  0.0000

Entry 16:
## CaLaTmMg (PBE)

Data for a geometry-optimized CaLaTmMg structure.

Calculated values
**Symmetry**: F-43m (216)
**Calculated total energy**: -3.179 eV/atom
**Crystal system**: cubic

Cell lengths 5.6676, 5.6676, 5.6676 Å; angles 60.00, 60.00, 60.00 degrees
Fractional positions:
La  0.7500  0.7500  0.7500
Mg  0.5000  0.5000  0.5000
Ca  0.0000  0.0000  0.0000
Tm  0.2500  0.2500  0.2500

Entry 17:
## CaLa2Y2Mg5 (PBE)

Data for a geometry-optimized CaLa2Y2Mg5 structure.

Calculated values
**Symmetry**: P4/mbm (127)
**Calculated total energy**: -3.271 eV/atom
**Crystal system**: tetragonal

Cell lengths 5.0942, 10.8561, 10.8561 Å; angles 90.00, 90.00, 90.00 degrees
Fractional positions:
La  0.0000  0.6750  0.1750
Y  0.0000  0.3799  0.1201
La  0.0000  0.1750  0.3250
Mg  0.5000  0.5000  0.0000
Mg  0.5000  0.4294  0.2990
Y  0.0000  0.1201  0.6201
Mg  0.5000  0.2010  0.0706
Mg  0.5000  0.0000  0.5000
Mg  0.5000  0.5706  0.7010
Mg  0.5000  0.2990  0.5706
Mg  0.5000  0.7990  0.9294
Mg  0.5000  0.9294  0.2010
Y  0.0000  0.6201  0.8799
Mg  0.5000  0.7010  0.4294
La  0.0000  0.3250  0.8250
Mg  0.5000  0.0706  0.7990
Ca  0.0000  0.5000  0.5000
Ca  0.0000  0.0000  0.0000
Y  0.0000  0.8799  0.3799
La  0.0000  0.8250  0.6750

Entry 18:
## CaLaMn (PBE)

Data for a geometry-optimized CaLaMn structure.

Calculated values
**Symmetry**: I4mm (107)
**Calculated total energy**: -5.102 eV/atom
**Crystal system**: tetragonal
**Distance to the lowest polymorph of the same formula**: 0 meV/atom

Cell lengths 7.2051, 7.2051, 7.2051 Å; angles 150.26, 150.26, 42.55 degrees
Fractional positions:
Ca  0.9715  0.9715  0.0000
Mn  0.3286  0.3286  0.0000
La  0.6998  0.6998  0.0000

Entry 19:
## Ca3LaMn (PBE)

Data for a geometry-optimized Ca3LaMn structure.

Calculated values
**Symmetry**: Pm-3m (221)
**Calculated total energy**: -2.781 eV/atom
**Crystal system**: cubic
**Distance to the lowest polymorph of the same formula**: 817 meV/atom

Cell lengths 5.7952, 5.7952, 5.7952 Å; angles 90.00, 90.00, 90.00 degrees
Fractional positions:
Ca  0.0000  0.5000  0.0000
Mn  0.5000  0.5000  0.5000
Ca  0.0000  0.0000  0.5000
Ca  0.5000  0.0000  0.0000
La  0.0000  0.0000  0.0000

Entry 20:
## CaLa2Mn2 (PBE)

Data for a geometry-optimized CaLa2Mn2 structure.

Calculated values
**Symmetry**: P4/mbm (127)
**Calculated total energy**: -5.783 eV/atom
**Crystal system**: tetragonal

Cell lengths 8.5403, 8.5403, 3.8909 Å; angles 90.00, 90.00, 90.00 degrees
Fractional positions:
La  0.6665  0.8335  0.5000
La  0.1665  0.6665  0.5000
Ca  0.5000  0.5000  0.0000
Mn  0.3875  0.8875  0.0000
La  0.8335  0.3335  0.5000
Mn  0.1125  0.3875  0.0000
Mn  0.8875  0.6125  0.0000
La  0.3335  0.1665  0.5000
Mn  0.6125  0.1125  0.0000
Ca  0.0000  0.0000  0.0000

Entry 21:
## CaLaMn (PBE)

Data for a geometry-optimized CaLaMn structure.

Calculated values
**Symmetry**: F-43m (216)
**Calculated total energy**: -4.386 eV/atom
**Crystal system**: cubic
**Distance to the lowest polymorph of the same formula**: 716 meV/atom

Cell lengths 5.1356, 5.1356, 5.1356 Å; angles 60.00, 60.00, 60.00 degrees
Fractional positions:
Ca  0.5000  0.5000  0.5000
Mn  0.0000  0.0000  0.0000
La  0.7500  0.7500  0.7500

Entry 22:
## Ca3LaMn (PBE)

Data for a geometry-optimized Ca3LaMn structure.

Calculated values
**Symmetry**: Pm-3m (221)
**Calculated total energy**: -3.598 eV/atom
**Crystal system**: cubic
**Distance to the lowest polymorph of the same formula**: 0 meV/atom

Cell lengths 5.6613, 5.6613, 5.6613 Å; angles 90.00, 90.00, 90.00 degrees
Fractional positions:
La  0.5000  0.5000  0.5000
Ca  0.5000  0.0000  0.0000
Ca  0.0000  0.0000  0.5000
Ca  0.0000  0.5000  0.0000
Mn  0.0000  0.0000  0.0000

Entry 23:
## CaLaMn (PBE)

Data for a geometry-optimized CaLaMn structure.

Calculated values
**Symmetry**: P3m1 (156)
**Calculated total energy**: -4.868 eV/atom
**Crystal system**: trigonal
**Distance to the lowest polymorph of the same formula**: 234 meV/atom

Cell lengths 5.3067, 5.3067, 3.6306 Å; angles 90.00, 90.00, 120.00 degrees
Fractional positions:
La  0.6667  0.3333  0.5060
Ca  0.0000  0.0000  0.0027
Mn  0.3333  0.6667  0.4913

Entry 24:
## CaLaMn4 (PBE)

Data for a geometry-optimized CaLaMn4 structure.

Calculated values
**Symmetry**: F-43m (216)
**Calculated total energy**: -6.842 eV/atom
**Crystal system**: cubic

Cell lengths 5.3000, 5.3000, 5.3000 Å; angles 60.00, 60.00, 60.00 degrees
Fractional positions:
Mn  0.3759  0.3759  0.3759
Ca  0.7500  0.7500  0.7500
Mn  0.3759  0.3759  0.8722
Mn  0.8722  0.3759  0.3759
La  0.0000  0.0000  0.0000
Mn  0.3759  0.8722  0.3759

Entry 25:
## CaLaMn (PBE)

Data for a geometry-optimized CaLaMn structure.

Calculated values
**Symmetry**: F-43m (216)
**Calculated total energy**: -4.851 eV/atom
**Crystal system**: cubic
**Distance to the lowest polymorph of the same formula**: 251 meV/atom

Cell lengths 5.1648, 5.1648, 5.1648 Å; angles 60.00, 60.00, 60.00 degrees
Fractional positions:
La  0.5000  0.5000  0.5000
Ca  0.0000  0.0000  0.0000
Mn  0.7500  0.7500  0.7500

Entry 26:
## CaLaMn3 (PBE)

Data for a geometry-optimized CaLaMn3 structure.

Calculated values
**Symmetry**: Pm-3m (221)
**Calculated total energy**: -5.701 eV/atom
**Crystal system**: cubic

Cell lengths 5.1086, 5.1086, 5.1086 Å; angles 90.00, 90.00, 90.00 degrees
Fractional positions:
Mn  0.5000  0.0000  0.0000
Mn  0.0000  0.5000  0.0000
Ca  0.0000  0.0000  0.0000
Mn  0.0000  0.0000  0.5000
La  0.5000  0.5000  0.5000